(1)
4
Lattice="4.820 -0.002 0.010 4.000 2.689 0.010 0.760 0.231 4.886" Properties=species:S:1:pos:R:3 comment="Mg2ReP | the Alexandria database | PBE | optimized geometry" magnetic_moment_mub_per_fu=0.00 e_tot_ev_per_atom=-4.846 pbc="T T T"
Mg 0.797 0.243 4.873
Mg 4.753 1.448 2.466
P 7.185 2.189 3.679
Re 2.395 0.730 1.226


(2)
4
Lattice="2.770 0.000 0.000 0.000 2.770 0.000 0.000 0.000 8.479" Properties=species:S:1:pos:R:3 comment="Mg2ReP | the Alexandria database | PBE | optimized geometry" magnetic_moment_mub_per_fu=0.00 e_tot_ev_per_atom=-5.062 pbc="T T T"
Mg 0.000 0.000 0.015
Mg 0.000 0.000 4.224
P 1.385 1.385 2.120
Re 1.385 1.385 6.359


(3)
4
Lattice="-1.477 -5.866 0.835 4.445 1.126 -2.094 1.284 -1.307 2.024" Properties=species:S:1:pos:R:3 comment="Mg2ReP | the Alexandria database | PBE | optimized geometry" magnetic_moment_mub_per_fu=0.00 e_tot_ev_per_atom=-5.073 pbc="T T T"
Mg 0.000 0.000 0.000
Mg -0.097 -3.587 1.429
P 2.864 -0.090 -0.035
Re 1.484 -2.370 -0.630


(4)
4
Lattice="-2.727 0.753 0.919 0.215 -0.619 -2.901 -1.564 -7.469 1.477" Properties=species:S:1:pos:R:3 comment="MgReP2 | the Alexandria database | PBE | optimized geometry" magnetic_moment_mub_per_fu=0.00 e_tot_ev_per_atom=-5.989 pbc="T T T"
Mg -2.429 -5.535 0.117
P -0.024 -0.116 0.023
P -0.758 -3.619 0.716
Re -1.647 -1.800 -0.622


(5)
5
Lattice="4.552 0.000 0.000 0.000 4.552 0.000 0.000 0.000 4.552" Properties=species:S:1:pos:R:3 comment="MgReP3 | the Alexandria database | PBE | optimized geometry" magnetic_moment_mub_per_fu=0.01 relative_energy_mev_per_atom=1338 e_tot_ev_per_atom=-4.245 pbc="T T T"
Re 2.276 2.276 2.276
Mg 0.000 0.000 0.000
P 0.000 2.276 0.000
P 0.000 0.000 2.276
P 2.276 0.000 0.000


(6)
4
Lattice="-1.024 0.989 -2.729 -2.060 -3.237 -0.400 -3.932 2.220 2.280" Properties=species:S:1:pos:R:3 comment="MgReP2 | the Alexandria database | PBE | optimized geometry" magnetic_moment_mub_per_fu=0.00 e_tot_ev_per_atom=-6.162 pbc="T T T"
Mg -4.702 0.660 0.268
P -3.722 2.102 2.159
P -2.769 -0.432 -0.853
Re -1.720 0.971 0.998


(7)
4
Lattice="-3.077 -0.292 3.820 2.377 -1.325 4.091 0.827 3.482 -3.367" Properties=species:S:1:pos:R:3 comment="Mg2ReP | the Alexandria database | PBE | optimized geometry" magnetic_moment_mub_per_fu=1.30 e_tot_ev_per_atom=-5.001 pbc="T T T"
Mg 0.000 0.000 0.000
Mg 1.427 0.674 2.340
P -0.350 -0.809 3.956
Re -1.300 1.190 2.204


(8)
6
Lattice="4.880 0.560 0.849 1.843 -0.791 4.563 2.851 -3.993 0.879" Properties=species:S:1:pos:R:3 comment="MgReP4 | the Alexandria database | PBE | optimized geometry" magnetic_moment_mub_per_fu=0.00 e_tot_ev_per_atom=-5.183 pbc="T T T"
Mg 0.000 0.000 0.000
Re 7.181 -3.168 4.718
P 6.022 -1.310 2.786
P 5.014 -3.571 2.801
P 4.514 -1.981 4.630
P 3.598 -1.588 2.364


(9)
4
Lattice="3.110 0.000 0.000 0.000 3.110 0.000 0.000 0.000 7.172" Properties=species:S:1:pos:R:3 comment="Mg2ReP | the Alexandria database | PBE | optimized geometry" magnetic_moment_mub_per_fu=0.00 e_tot_ev_per_atom=-5.419 pbc="T T T"
Mg 0.000 0.000 6.873
Mg 1.555 1.555 2.132
P 0.000 0.000 3.956
Re 1.555 1.555 4.968


(10)
4
Lattice="-1.105 6.369 -3.603 -0.474 4.311 -5.996 -3.444 4.490 -4.769" Properties=species:S:1:pos:R:3 comment="MgReP2 | the Alexandria database | PBE | optimized geometry" magnetic_moment_mub_per_fu=0.00 e_tot_ev_per_atom=-6.376 pbc="T T T"
Mg -3.767 11.377 -10.776
P -4.978 15.036 -14.241
P -2.555 7.719 -7.311
Re -1.256 3.792 -3.592


(11)
4
Lattice="-0.794 2.913 1.292 -0.112 -1.962 4.356 3.658 0.796 0.453" Properties=species:S:1:pos:R:3 comment="MgReP2 | the Alexandria database | PBE | optimized geometry" magnetic_moment_mub_per_fu=0.00 e_tot_ev_per_atom=-5.920 pbc="T T T"
Mg 1.773 -0.583 2.404
P 0.000 0.000 0.000
P -0.453 0.476 2.824
Re 1.432 1.855 0.872


(12)
5
Lattice="4.761 0.000 0.000 0.000 4.491 0.000 0.000 0.000 4.761" Properties=species:S:1:pos:R:3 comment="MgRePRu2 | the Alexandria database | PBE | optimized geometry" magnetic_moment_mub_per_fu=0.00 e_tot_ev_per_atom=-6.588 pbc="T T T"
Re 0.000 0.000 0.000
Mg 2.381 2.245 2.381
P 0.000 2.245 0.000
Ru 0.000 0.000 2.381
Ru 2.381 0.000 0.000


(13)
5
Lattice="-4.019 1.719 -1.732 -0.863 -4.123 -2.089 -2.258 -1.451 3.797" Properties=species:S:1:pos:R:3 comment="MgRePS2 | the Alexandria database | PBE | optimized geometry" magnetic_moment_mub_per_fu=0.00 relative_energy_mev_per_atom=0 raw_formation_energy_mev_per_atom=255.4 e_tot_ev_per_atom=-5.286 pbc="T T T"
Re 0.000 0.000 0.000
S -0.432 -2.062 -1.044
S -2.009 0.859 -0.866
Mg -3.570 -1.928 -0.012
P -1.129 -0.725 1.899


(14)
5
Lattice="4.635 0.000 0.000 0.000 4.635 0.000 0.000 0.000 4.802" Properties=species:S:1:pos:R:3 comment="MgRePS2 | the Alexandria database | PBE | optimized geometry" magnetic_moment_mub_per_fu=2.79 relative_energy_mev_per_atom=1062 raw_formation_energy_mev_per_atom=1316.9 e_tot_ev_per_atom=-4.225 pbc="T T T"
Re 2.317 2.317 2.401
S 0.000 2.317 0.000
S 2.317 0.000 0.000
Mg 0.000 0.000 0.000
P 0.000 0.000 2.401


(15)
5
Lattice="4.781 0.000 0.000 0.000 4.751 0.000 0.000 0.000 4.781" Properties=species:S:1:pos:R:3 comment="MgScRe2P | the Alexandria database | PBE | optimized geometry" magnetic_moment_mub_per_fu=2.72 e_tot_ev_per_atom=-5.878 pbc="T T T"
Sc 0.000 0.000 0.000
Re 0.000 0.000 2.390
Re 2.390 0.000 0.000
Mg 2.390 2.375 2.390
P 0.000 2.375 0.000